(1)
LaAg2W | PBE-GGA | relaxed

- total DFT energy (no corrections) (eV per atom) = -5.335
- relative energy among the computed polymorphs (kJ/mol of formula units) = 49
- spin magnetization (Bohr magnetons per cell) = 0.00
- calculated formation energy (eV per atom) = 0.561

a = 2.931 Å, b = 5.019 Å, c = 5.814 Å
α = 90.00°, β = 103.46°, γ = 90.00°
Element x y z (fractional)
La  0.000  0.000  0.000
Ag  0.319  0.500  0.717
Ag  0.681  0.500  0.283
W  0.500  0.000  0.500

(2)
LaAg2W | PBE-GGA | relaxed

- total DFT energy (no corrections) (eV per atom) = -5.382
- relative energy among the computed polymorphs (kJ/mol of formula units) = 31
- spin magnetization (Bohr magnetons per cell) = 0.00
- calculated formation energy (eV per atom) = 0.514

a = 2.971 Å, b = 2.971 Å, c = 9.137 Å
α = 90.00°, β = 90.00°, γ = 90.00°
Element x y z (fractional)
La  0.000  0.000  0.000
Ag  0.500  0.500  0.283
Ag  0.500  0.500  0.717
W  0.000  0.000  0.500

(3)
LaAg2W | PBE-GGA | relaxed

- total DFT energy (no corrections) (eV per atom) = -5.267
- relative energy among the computed polymorphs (kJ/mol of formula units) = 75
- spin magnetization (Bohr magnetons per cell) = 0.00
- calculated formation energy (eV per atom) = 0.629

a = 4.294 Å, b = 4.294 Å, c = 9.076 Å
α = 90.00°, β = 90.00°, γ = 90.00°
Element x y z (fractional)
La  0.000  0.000  0.000
La  0.500  0.500  0.500
Ag  0.000  0.500  0.250
Ag  0.000  0.500  0.750
Ag  0.500  0.000  0.250
Ag  0.500  0.000  0.750
W  0.000  0.000  0.500
W  0.500  0.500  0.000

(4)
La2AgW | PBE-GGA | relaxed

- total DFT energy (no corrections) (eV per atom) = -5.894
- relative energy among the computed polymorphs (kJ/mol of formula units) = 81
- spin magnetization (Bohr magnetons per cell) = 0.00
- calculated formation energy (eV per atom) = 0.521

a = 4.491 Å, b = 4.491 Å, c = 9.652 Å
α = 90.00°, β = 90.00°, γ = 90.00°
Element x y z (fractional)
La  0.000  0.000  0.000
La  0.000  0.500  0.250
La  0.500  0.000  0.750
La  0.500  0.500  0.500
Ag  0.000  0.000  0.500
Ag  0.500  0.500  0.000
W  0.000  0.500  0.750
W  0.500  0.000  0.250

(5)
LaAg2W | PBE-GGA | relaxed

- total DFT energy (no corrections) (eV per atom) = -5.281
- relative energy among the computed polymorphs (kJ/mol of formula units) = 70
- spin magnetization (Bohr magnetons per cell) = 0.00
- calculated formation energy (eV per atom) = 0.615

a = 2.986 Å, b = 5.390 Å, c = 10.433 Å
α = 90.00°, β = 90.00°, γ = 90.00°
Element x y z (fractional)
La  0.000  0.000  0.000
La  0.500  0.500  0.500
Ag  0.000  0.000  0.486
Ag  0.000  0.500  0.222
Ag  0.500  0.000  0.722
Ag  0.500  0.500  0.986
W  0.000  0.500  0.754
W  0.500  0.000  0.254

(6)
LaAgW2 | PBE-GGA | relaxed

- total DFT energy (no corrections) (eV per atom) = -7.489
- relative energy among the computed polymorphs (kJ/mol of formula units) = 209
- spin magnetization (Bohr magnetons per cell) = 0.00
- calculated formation energy (eV per atom) = 0.932

a = 5.777 Å, b = 9.990 Å, c = 2.761 Å
α = 90.00°, β = 90.00°, γ = 90.00°
Element x y z (fractional)
La  0.000  0.000  0.000
La  0.500  0.500  0.000
Ag  0.000  0.500  0.000
Ag  0.500  0.000  0.000
W  0.250  0.250  0.500
W  0.250  0.750  0.500
W  0.750  0.250  0.500
W  0.750  0.750  0.500

(7)
La3AgW | PBE-GGA | relaxed

- total DFT energy (no corrections) (eV per atom) = -5.691
- relative energy among the computed polymorphs (kJ/mol of formula units) = 0
- spin magnetization (Bohr magnetons per cell) = 0.00
- calculated formation energy (eV per atom) = 0.426

a = 5.571 Å, b = 5.571 Å, c = 5.571 Å
α = 90.00°, β = 90.00°, γ = 90.00°
Element x y z (fractional)
La  0.000  0.000  0.500
La  0.000  0.500  0.000
La  0.500  0.000  0.000
Ag  0.500  0.500  0.500
W  0.000  0.000  0.000

(8)
La2AgW | PBE-GGA | relaxed

- total DFT energy (no corrections) (eV per atom) = -5.716
- relative energy among the computed polymorphs (kJ/mol of formula units) = 149
- spin magnetization (Bohr magnetons per cell) = 4.05
- calculated formation energy (eV per atom) = 0.699

a = 8.140 Å, b = 8.140 Å, c = 6.294 Å
α = 90.00°, β = 90.00°, γ = 90.00°
Element x y z (fractional)
La  0.226  0.250  0.125
La  0.250  0.726  0.375
La  0.250  0.774  0.875
La  0.274  0.250  0.625
La  0.726  0.750  0.625
La  0.750  0.226  0.875
La  0.750  0.274  0.375
La  0.774  0.750  0.125
Ag  0.000  0.000  0.500
Ag  0.000  0.500  0.750
Ag  0.500  0.000  0.250
Ag  0.500  0.500  0.000
W  0.000  0.000  0.000
W  0.000  0.500  0.250
W  0.500  0.000  0.750
W  0.500  0.500  0.500